Here is Rb4MnS4 after structural relaxation from Alexandria. Energies are from GGA-PBE.

The structure in extended XYZ format:
```
9
Lattice="-2.5860 2.1904 7.0566 6.9255 -1.8872 3.1237 -0.0739 5.7689 -6.1599" Properties=species:S:1:pos:R:3 pbc="T T T"
S 0.2457 4.6775 -4.2554
S -0.5951 2.6522 6.1942
S 5.7431 -0.0650 3.5734
S 3.1374 4.8796 2.5286
Mn 0.0000 0.0000 0.0000
Rb 3.0072 2.5174 4.6627
Rb 3.4627 -0.9436 1.5619
Rb -1.2930 1.0952 3.5283
Rb 1.2583 3.5547 -0.6423
```

Summary:
- E above lowest polymorph (meV per atom) = 101.0
- SG = I-42m (121)

=====

Here is Rb2Mn3S4 after structural relaxation from Alexandria. Energies are from GGA-PBE.

The structure in extended XYZ format:
```
18
Lattice="4.9280 -6.4193 -4.8686 5.9982 -1.7026 7.0935 -8.9952 -1.1129 -2.6541" Properties=species:S:1:pos:R:3 pbc="T T T"
Mn 1.8236 -3.7119 -1.1230
Mn 7.2867 -7.7729 -0.0106
Mn -5.3557 -1.4620 -0.4186
Mn 1.2331 -3.4383 2.7760
Mn 0.1074 -5.5230 0.6939
Mn 0.6979 -5.7966 -3.2051
S 1.3415 -1.0022 2.6051
S -3.7772 -2.1412 -2.1187
S 2.4248 -4.6529 1.0210
S 0.5895 -8.2327 -3.0342
S -1.0550 -4.2541 2.5030
S 2.9861 -4.9808 -2.9322
S -0.4938 -4.5819 -1.4501
S 5.7082 -7.0937 1.6896
Rb -1.2087 -1.5830 0.1568
Rb 3.1397 -7.6519 -0.5860
Rb 5.2353 -3.8275 3.0835
Rb -3.3043 -5.4074 -3.5127
```

Summary:
- SG = Ibam (72)

=====

Here is RbMn3S after structural relaxation from Alexandria. Energies are from GGA-PBE.

The structure in extended XYZ format:
```
5
Lattice="-4.3997 0.4022 1.4143 -0.2307 -4.5955 0.5893 1.4522 0.4885 4.3785" Properties=species:S:1:pos:R:3 pbc="T T T"
Mn -2.1998 0.2011 0.7072
Mn 0.7261 0.2443 2.1893
Mn -0.1153 -2.2978 0.2946
S 0.0000 0.0000 0.0000
Rb -1.5891 -1.8524 3.1911
```

Summary:
- E above lowest polymorph (meV per atom) = 0.0
- SG = Pm-3m (221)

=====

Here is Rb5MnS4 after structural relaxation from Alexandria. Energies are from GGA-PBE.

The structure in extended XYZ format:
```
20
Lattice="7.3435 0.0000 0.0000 0.0000 10.1268 0.0000 0.0000 0.0000 9.9012" Properties=species:S:1:pos:R:3 pbc="T T T"
Mn 5.7801 5.0634 4.9506
Mn 1.5634 0.0000 0.0000
S 2.6266 0.0000 2.0848
S 6.8678 7.1427 4.9506
S 0.4758 2.0792 0.0000
S 2.6266 0.0000 7.8164
S 4.7169 5.0634 2.8658
S 4.7169 5.0634 7.0354
S 0.4758 8.0476 0.0000
S 6.8678 2.9842 4.9506
Rb 6.3575 5.0634 0.0000
Rb 5.4274 1.9207 2.2816
Rb 0.9861 0.0000 4.9506
Rb 1.9161 6.9841 2.6690
Rb 1.9161 3.1428 7.2322
Rb 1.9161 3.1428 2.6690
Rb 5.4274 8.2062 7.6195
Rb 1.9161 6.9841 7.2322
Rb 5.4274 8.2062 2.2816
Rb 5.4274 1.9207 7.6195
```

Summary:
- SG = Pmmn (59)

=====

Here is Rb2MnS4 after structural relaxation from Alexandria. Energies are from GGA-PBE.

The structure in extended XYZ format:
```
7
Lattice="4.8075 0.0000 0.0000 0.0000 4.8075 0.0000 2.4037 2.4037 8.2009" Properties=species:S:1:pos:R:3 pbc="T T T"
S 0.0000 2.4037 0.0000
S 2.4037 2.4037 5.9484
S 4.8075 4.8075 2.2525
S 2.4037 0.0000 0.0000
Rb 4.8075 4.8075 5.7491
Rb 2.4037 2.4037 2.4518
Mn 0.0000 0.0000 0.0000
```

Summary:
- E above lowest polymorph (meV per atom) = 240.6
- SG = I4/mmm (139)

=====

Here is Rb2MnS4 after structural relaxation from Alexandria. Energies are from GGA-PBE.

The structure in extended XYZ format:
```
28
Lattice="6.8987 0.0000 0.0000 0.0000 9.8029 0.0000 0.0000 0.0000 12.1737" Properties=species:S:1:pos:R:3 pbc="T T T"
S 3.5031 6.5409 10.2765
S 1.7247 5.2642 4.7322
S 3.3956 8.1635 4.1897
S 3.5031 1.6395 7.9841
S 3.3956 3.2620 1.8972
S 6.8450 6.5409 10.2765
S 1.7247 0.3627 1.3547
S 5.1741 6.9454 1.0020
S 0.0538 8.1635 4.1897
S 1.7247 2.8575 11.1717
S 5.1741 9.4403 10.8190
S 6.8450 1.6395 7.9841
S 1.7247 7.7590 7.0889
S 5.1741 2.0439 5.0848
S 0.0538 3.2620 1.8972
S 5.1741 4.5388 7.4416
Rb 5.1741 5.2363 4.1039
Rb 5.1741 3.4424 10.9624
Rb 1.7247 4.5667 8.0698
Rb 5.1741 8.3439 7.2982
Rb 1.7247 9.4681 10.1908
Rb 1.7247 1.4590 4.8755
Rb 5.1741 0.3348 1.9829
Rb 1.7247 6.3605 1.2114
Mn 5.1741 2.4861 7.1104
Mn 1.7247 7.3169 5.0634
Mn 1.7247 2.4154 1.0235
Mn 5.1741 7.3875 11.1502
```

Summary:
- E above lowest polymorph (meV per atom) = 0.0
- SG = Pnma (62)

=====

Here is Rb2MnS3 after structural relaxation from Alexandria. Energies are from GGA-PBE.

The structure in extended XYZ format:
```
24
Lattice="-5.7310 0.1172 -3.9699 -1.3379 -6.1081 -4.3723 -8.2790 -6.6010 11.7535" Properties=species:S:1:pos:R:3 pbc="T T T"
S -6.7083 -7.8862 0.2671
S -8.9584 -7.3049 9.6542
S -11.8356 -5.2561 4.6816
S -3.5123 -7.3358 -1.2703
S -8.6396 -4.7057 3.1442
S -6.3792 -7.2717 -3.2531
S -3.9722 -4.2563 2.5358
S -8.9687 -5.3203 6.6644
S -10.3865 -9.8826 5.5045
S -6.3895 -5.2870 -6.2429
S -11.3757 -8.3356 0.8755
S -4.9614 -2.7093 -2.0932
Rb -11.6445 -7.3613 7.4052
Rb -2.1115 -3.2367 -0.1005
Rb -9.5014 -7.5106 -1.8147
Rb -6.6331 -4.4916 0.2478
Rb -3.7034 -5.2307 -3.9939
Rb -13.2364 -9.3553 3.5118
Rb -5.8465 -5.0814 5.2260
Rb -8.7148 -8.1003 3.1635
Mn -9.6623 -11.5695 4.4179
Mn -4.1834 -2.1670 2.9111
Mn -11.1645 -10.4250 0.5002
Mn -5.6856 -1.0224 -1.0066
```

Summary:
- SG = C2/c (15)

=====

Here is RbMn3S after structural relaxation from Alexandria. Energies are from GGA-PBE.

The structure in extended XYZ format:
```
5
Lattice="5.0208 0.0000 0.0000 0.0000 5.0208 0.0000 0.0000 0.0000 5.0208" Properties=species:S:1:pos:R:3 pbc="T T T"
Mn 0.0000 0.0000 2.5104
Mn 2.5104 0.0000 0.0000
Mn 0.0000 2.5104 0.0000
S 2.5104 2.5104 2.5104
Rb 0.0000 0.0000 0.0000
```

Summary:
- E above lowest polymorph (meV per atom) = 1745.8
- SG = Pm-3m (221)

=====

Here is RbMnS after structural relaxation from Alexandria. Energies are from GGA-PBE.

The structure in extended XYZ format:
```
6
Lattice="-0.4121 3.2080 2.1613 -2.0820 -3.1793 0.8212 10.2456 -3.0063 6.4156" Properties=species:S:1:pos:R:3 pbc="T T T"
Rb 7.9431 -2.7380 5.5784
Rb -0.1916 -0.2396 3.8198
S 5.2758 -0.9139 5.8632
S 2.4757 -2.0636 3.5350
Mn 4.1626 -2.7988 4.9479
Mn 3.5889 -0.1787 4.4503
```

Summary:
- SG = C2/m (12)

=====

Here is RbMnS4 after structural relaxation from Alexandria. Energies are from GGA-PBE.

The structure in extended XYZ format:
```
12
Lattice="-2.0537 5.3139 -2.3818 -6.7339 -1.8364 1.7160 4.9399 1.0162 6.0085" Properties=species:S:1:pos:R:3 pbc="T T T"
Mn 1.4431 3.1650 1.8134
Mn -0.8970 -0.4101 3.8622
Rb -1.7317 3.8293 5.4163
Rb -2.1160 0.6643 -0.0736
S -0.9643 1.8233 2.7025
S -4.9595 0.6863 1.1721
S -2.8835 2.6703 2.6402
S -2.4576 3.8377 -0.6878
S -0.0793 5.0498 1.1322
S -1.3902 0.6559 6.0305
S 1.1118 3.8073 4.1706
S -3.7684 -0.5561 4.2105
```

Summary:
- SG = C2/c (15)

=====

Here is Rb3MnS3 after structural relaxation from Alexandria. Energies are from GGA-PBE.

The structure in extended XYZ format:
```
14
Lattice="-7.5084 2.5691 0.1439 0.6453 -7.8993 -0.4275 1.5879 0.8164 7.7026" Properties=species:S:1:pos:R:3 pbc="T T T"
Rb -0.0394 -5.5927 3.5274
Rb -1.4967 -5.1493 -0.2774
Rb -1.6363 -1.5406 4.8750
Rb -3.6389 -2.9732 2.5439
Rb -5.2359 1.0789 3.8915
Rb -5.3665 -0.1810 -0.0062
S 0.6125 0.1233 6.4820
S -2.5999 0.1395 2.0753
S -4.8798 -1.8232 5.4981
S -0.3955 -2.6906 1.9208
S -2.6754 -4.6533 5.3436
S -5.8877 -4.6371 0.9369
Mn -4.4990 -3.8547 6.4211
Mn -0.7762 -0.6591 0.9978
```

Summary:
- E above lowest polymorph (meV per atom) = 14.1
- SG = C2/m (12)

=====

Here is Rb2MnSb2S6 after structural relaxation from Alexandria. Energies are from GGA-PBE.

The structure in extended XYZ format:
```
11
Lattice="6.6486 0.0361 0.0263 -3.2547 5.7975 0.0263 -1.2485 -2.1461 7.7711" Properties=species:S:1:pos:R:3 pbc="T T T"
S 1.7896 3.0762 5.3020
S 1.3280 -1.0668 5.2879
S 0.8174 4.7544 2.5358
S -1.5838 0.6271 5.2879
S 0.3557 0.6114 2.5216
S 3.7291 3.0605 2.5358
Rb 4.9101 1.0475 0.0263
Rb -1.5163 4.7862 0.0263
Sb -0.5930 2.8129 3.9118
Sb 2.7384 0.8748 3.9118
Mn -0.6243 -1.0730 3.8856
```

Summary:
- SG = C2/m (12)

=====

Here is Rb2MnSbS4 after structural relaxation from Alexandria. Energies are from GGA-PBE.

The structure in extended XYZ format:
```
16
Lattice="6.5436 0.0000 0.0000 3.2718 7.0924 0.0000 3.2718 0.0000 11.5261" Properties=species:S:1:pos:R:3 pbc="T T T"
S 3.1621 2.1876 4.5705
S 5.0175 1.3586 1.1925
S 6.6534 2.1876 6.9556
S 9.7057 4.9048 6.9556
S 6.6534 4.9048 4.5705
S 11.5611 5.7338 10.3336
S 4.7980 5.7338 1.1925
S 4.7980 1.3586 10.3336
Sb 4.9077 3.5462 5.7631
Sb 3.2718 0.0000 0.0000
Rb 8.1795 3.5462 1.6303
Rb 8.1795 3.5462 9.8959
Rb 6.5436 0.0000 4.1328
Rb 3.2718 0.0000 7.3933
Mn 8.1795 3.5462 5.7631
Mn 0.0000 0.0000 0.0000
```

Summary:
- SG = Fddd (70)

=====

Here is RbSc2MnS4 after structural relaxation from Alexandria. Energies are from GGA-PBE.

The structure in extended XYZ format:
```
16
Lattice="-2.6989 -2.6914 -0.5157 3.3867 0.5226 -6.1091 8.6028 -9.3866 3.9662" Properties=species:S:1:pos:R:3 pbc="T T T"
S 4.4720 -4.1606 -1.6900
S 1.1010 -3.8134 -0.2029
S 0.0000 0.0000 0.0000
S 1.9218 -1.3780 -2.8657
S 4.8187 -7.3948 -0.9685
S 8.1897 -7.7419 -2.4556
S 4.3014 -4.6933 1.9831
S 7.3689 -10.1773 0.2072
Sc 6.3232 -5.8659 -2.4779
Sc 9.5888 -9.4291 -0.9723
Sc -0.2981 -2.1263 -1.6862
Sc 2.9676 -5.6894 -0.1806
Rb 6.8916 -7.2175 1.6011
Rb 2.3991 -4.3379 -4.2596
Mn 6.4472 -8.9288 -1.4850
Mn 2.8435 -2.6265 -1.1736
```

Summary:
- SG = Cmcm (63)

=====

Here is Rb2ScMnS4 after structural relaxation from Alexandria. Energies are from GGA-PBE.

The structure in extended XYZ format:
```
16
Lattice="-7.7852 -2.2849 1.6493 2.2252 -7.5144 -2.6708 4.2967 3.4611 5.7667" Properties=species:S:1:pos:R:3 pbc="T T T"
S -0.3289 -4.0129 4.7129
S 4.1830 -2.5190 3.9178
S -5.4463 -3.8192 0.8273
S -0.9343 -2.3254 0.0323
S 0.6680 -1.0346 2.1827
S 1.8202 -4.1375 1.1270
S -3.0834 -2.2007 3.6181
S -1.9312 -5.3037 2.5625
Rb 2.1484 1.7305 2.8833
Rb -2.7800 -4.8997 -0.5108
Rb 0.4810 -6.9263 1.0372
Rb 2.6293 -5.1958 3.9205
Mn 0.0000 0.0000 0.0000
Mn -0.6317 -3.1691 2.3726
Sc -6.6726 -6.0421 0.3139
Sc 3.2610 -2.0267 1.5479
```

Summary:
- SG = Imma (74)

=====

Here is Rb3Sc3MnS8 after structural relaxation from Alexandria. Energies are from GGA-PBE.

The structure in extended XYZ format:
```
15
Lattice="7.4925 0.0000 0.0000 -3.7463 6.4878 -0.0258 0.0000 -4.2964 7.7848" Properties=species:S:1:pos:R:3 pbc="T T T"
S 1.9928 3.3328 5.2151
S 5.7391 -1.1414 2.5439
S 0.0000 2.1713 2.4531
S 3.7463 0.0201 5.3059
S 0.0000 -0.1178 5.2291
S 1.7534 -1.1414 2.5439
S 3.7463 2.3092 2.5298
S -1.9928 3.3328 5.2151
Rb -1.8731 3.2439 -0.0129
Rb 1.8731 3.2439 -0.0129
Rb 0.0000 0.0000 0.0000
Mn 0.0000 -2.1482 3.8924
Sc 1.8731 1.0957 3.8795
Sc -1.8731 1.0957 3.8795
Sc 3.7463 -2.1482 3.8924
```

Summary:
- SG = R-3m (166)

=====

Here is RbMn2SeS after structural relaxation from Alexandria. Energies are from GGA-PBE.

The structure in extended XYZ format:
```
5
Lattice="-1.9013 2.2656 3.3951 -2.8099 -5.2907 1.9571 3.5538 -0.9233 2.6063" Properties=species:S:1:pos:R:3 pbc="T T T"
Se 0.0000 0.0000 0.0000
S -0.5787 -1.9742 3.9792
Rb -1.4049 -2.6454 0.9785
Mn -0.9506 1.1328 1.6976
Mn 1.7769 -0.4617 1.3031
```

Summary:
- SG = P4/mmm (123)

=====

Here is Rb2Mn2SeS2 after structural relaxation from Alexandria. Energies are from GGA-PBE.

The structure in extended XYZ format:
```
7
Lattice="-0.7836 3.3451 -2.3775 -5.4948 -1.8912 -4.5214 -8.2133 -0.3176 2.2588" Properties=species:S:1:pos:R:3 pbc="T T T"
S -9.8999 -0.7941 -1.5270
S -4.5918 1.9304 -3.1132
Rb -6.3355 1.0185 -0.1518
Rb -8.1562 0.1177 -4.4884
Mn -4.0691 -0.4986 -3.0319
Mn -10.4226 1.6348 -1.6082
Se 0.0000 0.0000 0.0000
```

Summary:
- SG = C2/m (12)

=====

Here is RbMnSi2S6 after structural relaxation from Alexandria. Energies are from GGA-PBE.

The structure in extended XYZ format:
```
20
Lattice="6.1270 0.0155 0.0161 1.9671 9.2351 -0.3978 1.9671 -0.7398 9.2141" Properties=species:S:1:pos:R:3 pbc="T T T"
Rb 6.5624 0.3120 8.2239
Rb 3.4989 8.1989 0.6085
S 6.5357 6.8768 -0.2795
S 2.0220 5.1496 2.4377
S 5.6665 5.4030 6.9919
S 3.5255 1.6341 9.1119
S 4.9757 6.2580 3.5880
S 6.5890 9.0528 1.9787
S 3.4722 -0.5419 6.8536
S 4.3948 3.1079 1.8405
S 8.0392 3.3613 6.3947
S 1.3313 1.7163 3.1659
S 8.7300 6.7946 5.6665
S 5.0856 2.2529 5.2444
Si 7.8745 5.3658 7.0659
Si 2.1868 3.1451 1.7665
Si 4.8110 6.8544 5.6159
Si 5.2503 1.6565 3.2165
Mn 6.5624 6.6886 2.0793
Mn 3.4989 1.8223 6.7531
```

Summary:
- SG = C2/c (15)

=====

Short version: energy = -4.1423, -5.8918, -5.8767, -3.9670, -4.4340, -4.6746, -4.8129, -4.1308, -5.1547, -4.8126, -4.4486, -4.6180, -4.6350, -6.3682, -5.3386, -5.7332, -4.5250, -5.3674, -5.1668 eV/atom, in the order given.
Short version: ΔE_f (raw) = -83, -76, 62, -88, -47, -70, -87, 231, -39, -36, -92, -59, -64, -140, -106, -141, 83, -77, -57 kJ/mol of atoms, in the order given.